[1]
Compound: ErPdPb
Source: OQMD via LeMat-Bulk
Functional: GGA-PBE
Structure: optimized geometry

Results
Total energy, Ry per atom: -0.381
Symmetry: P-62m (189)

Cell: 7.6489 7.6489 3.9709 Å, 90.00 90.00 120.00°
Closest atoms and distances in Å follow each position.
Fractional coordinates of all 9 atoms:
Pd  0.0000  0.0000  0.0000  6 Pb 2.83, 3 Er 3.10
Er  0.4047  0.4047  0.0000  5 Pd 3.06-3.10, 6 Pb 3.22-3.37
Er  0.5953  0.0000  0.0000  5 Pd 3.06-3.10, 6 Pb 3.22-3.37
Er  0.0000  0.5953  0.0000  5 Pd 3.06-3.10, 6 Pb 3.22-3.37
Pb  0.0000  0.2638  0.5000  4 Pd 2.83-2.85
Pb  0.7362  0.7362  0.5000  4 Pd 2.83-2.85
Pd  0.6667  0.3333  0.5000  3 Pb 2.85, 6 Er 3.06
Pb  0.2638  0.0000  0.5000  4 Pd 2.83-2.85
Pd  0.3333  0.6667  0.5000  3 Pb 2.85, 6 Er 3.06

***

[2]
Compound: YEr2PdPt2Pb3
Source: OQMD via LeMat-Bulk
Functional: GGA-PBE
Structure: optimized geometry

Results
Total energy, Ry per atom: -0.419
Symmetry: Amm2 (38)

Cell: 3.9248 7.7725 7.7725 Å, 120.23 90.00 90.00°
Closest atoms and distances in Å follow each position.
Fractional coordinates of all 9 atoms:
Er  0.0000  0.4068  0.0000  4 Pt 3.05-3.06, 1 Pd 3.15, 6 Pb 3.24-3.40
Pt  0.5000  0.3299  0.6671  3 Pb 2.88-2.91, 4 Er 3.05-3.06, 2 Y 3.09
Pt  0.5000  0.6671  0.3299  3 Pb 2.88-2.91, 4 Er 3.05-3.06, 2 Y 3.09
Y  0.0000  0.5938  0.5938  4 Pt 3.09, 1 Pd 3.16, 6 Pb 3.23-3.39
Er  0.0000  0.0000  0.4068  4 Pt 3.05-3.06, 1 Pd 3.15, 6 Pb 3.24-3.40
Pb  0.5000  0.7375  0.9994  2 Pd 2.84, 2 Pt 2.88-2.91
Pb  0.5000  0.9994  0.7375  2 Pd 2.84, 2 Pt 2.88-2.91
Pd  0.0000  0.0023  0.0023  6 Pb 2.82-2.84, 2 Er 3.15
Pb  0.5000  0.2633  0.2633  2 Pd 2.82, 2 Pt 2.91

***

[3]
Compound: ErPdPbSe3
Source: OQMD via LeMat-Bulk
Functional: GGA-PBE
Structure: optimized geometry

Results
Total energy, Ry per atom: -0.364
Symmetry: Cmcm (63)

Cell: 7.3397 7.3397 10.5789 Å, 90.00 90.00 149.11°
Closest atoms and distances in Å follow each position.
Fractional coordinates of all 12 atoms:
Er  0.5000  0.5000  0.5000  6 Se 2.86-2.88
Se  0.1425  0.8575  0.9501  1 Pd 2.62, 2 Er 2.86
Pb  0.7194  0.2806  0.7500  6 Se 3.08-3.43, 2 Pd 3.28
Er  0.5000  0.5000  0.0000  6 Se 2.86-2.88
Se  0.8575  0.1425  0.4501  1 Pd 2.62, 2 Er 2.86
Se  0.1425  0.8575  0.5499  1 Pd 2.62, 2 Er 2.86
Pd  0.9664  0.0336  0.2500  4 Se 2.54-2.62
Se  0.5813  0.4187  0.2500  2 Pd 2.54
Pb  0.2806  0.7194  0.2500  6 Se 3.08-3.43, 2 Pd 3.28
Se  0.8575  0.1425  0.0499  1 Pd 2.62, 2 Er 2.86
Pd  0.0336  0.9664  0.7500  4 Se 2.54-2.62
Se  0.4187  0.5813  0.7500  2 Pd 2.54

***

[4]
Compound: TbEr2Pd3Pb3
Source: OQMD via LeMat-Bulk
Functional: GGA-PBE
Structure: optimized geometry

Results
Total energy, Ry per atom: -0.383
Symmetry: Amm2 (38)

Cell: 3.8404 7.8455 7.8455 Å, 120.16 90.00 90.00°
Closest atoms and distances in Å follow each position.
Fractional coordinates of all 9 atoms:
Er  0.0000  0.6001  0.0000  5 Pd 3.06-3.13, 6 Pb 3.24-3.37
Pd  0.5000  0.3327  0.6690  3 Pb 2.89-2.92, 4 Er 3.06, 2 Tb 3.09
Tb  0.0000  0.4004  0.4004  5 Pd 3.09-3.15, 6 Pb 3.23-3.37
Pd  0.0000  0.9983  0.9983  6 Pb 2.83-2.85, 2 Er 3.13, 1 Tb 3.15
Er  0.0000  0.0000  0.6001  5 Pd 3.06-3.13, 6 Pb 3.24-3.37
Pb  0.5000  0.2675  0.9997  4 Pd 2.85-2.91
Pb  0.5000  0.7322  0.7322  4 Pd 2.83-2.92
Pb  0.5000  0.9997  0.2675  4 Pd 2.85-2.91
Pd  0.5000  0.6690  0.3327  3 Pb 2.89-2.92, 4 Er 3.06, 2 Tb 3.09

***

[5]
Compound: TbErPd2Pb
Source: OQMD via LeMat-Bulk
Functional: GGA-PBE
Structure: optimized geometry

Results
Total energy, Ry per atom: -0.402
Symmetry: Amm2 (38)

Cell: 3.6137 7.7719 7.7719 Å, 31.62 90.00 90.00°
Closest atoms and distances in Å follow each position.
Fractional coordinates of all 5 atoms:
Pd  0.0000  0.8088  0.8088  2 Pd 2.73, 1 Pb 2.85, 4 Er 2.90
Pd  0.0000  0.1931  0.1931  2 Pd 2.73, 1 Pb 2.90, 4 Tb 2.92
Er  0.5000  0.3638  0.3638  6 Pd 2.90-3.13
Tb  0.5000  0.6349  0.6349  6 Pd 2.92-3.17
Pb  0.0000  0.9994  0.9994  2 Pd 2.85-2.90

***

[6]
Compound: ErTmPd2Pb
Source: OQMD via LeMat-Bulk
Functional: GGA-PBE
Structure: optimized geometry

Results
Total energy, Ry per atom: -0.399
Symmetry: Amm2 (38)

Cell: 3.5520 7.7259 7.7259 Å, 31.99 90.00 90.00°
Closest atoms and distances in Å follow each position.
Fractional coordinates of all 5 atoms:
Er  0.0000  0.3637  0.3637  6 Pd 2.90-3.11
Tm  0.0000  0.6368  0.6368  6 Pd 2.89-3.09
Pd  0.5000  0.8074  0.8074  2 Pd 2.73, 1 Pb 2.86, 4 Er 2.90
Pd  0.5000  0.1918  0.1918  2 Pd 2.73, 1 Pb 2.85, 4 Tm 2.89
Pb  0.5000  0.0001  0.0001  2 Pd 2.85-2.86

***

[7]
Compound: YErPd2Pb
Source: OQMD via LeMat-Bulk
Functional: GGA-PBE
Structure: optimized geometry

Results
Total energy, Ry per atom: -0.429
Symmetry: Amm2 (38)

Cell: 3.6076 7.7465 7.7465 Å, 31.83 90.00 90.00°
Closest atoms and distances in Å follow each position.
Fractional coordinates of all 5 atoms:
Y  0.0000  0.3661  0.3661  6 Pd 2.93-3.18
Er  0.0000  0.6368  0.6368  6 Pd 2.90-3.10
Pb  0.5000  0.0002  0.0002  2 Pd 2.84-2.89
Pd  0.5000  0.8063  0.8063  2 Pd 2.73, 1 Pb 2.89, 4 Y 2.93
Pd  0.5000  0.1907  0.1907  2 Pd 2.73, 1 Pb 2.84, 4 Er 2.90

***

[8]
Compound: PmErPb
Source: OQMD via LeMat-Bulk
Functional: GGA-PBE
Structure: optimized geometry

Results
Total energy, Ry per atom: -0.334
Symmetry: F-43m (216)

Cell: 5.2117 5.2117 5.2117 Å, 60.00 60.00 60.00°
Closest atoms and distances in Å follow each position.
Fractional coordinates of all 3 atoms:
Er  0.2500  0.2500  0.2500  4 Pb 3.19
Pb  0.0000  0.0000  0.0000  4 Pm 3.19, 4 Er 3.19
Pm  0.7500  0.7500  0.7500  4 Pb 3.19

***

[9]
Compound: PrErPb
Source: OQMD via LeMat-Bulk
Functional: GGA-PBE
Structure: optimized geometry

Results
Total energy, Ry per atom: -0.335
Symmetry: F-43m (216)

Cell: 5.2542 5.2542 5.2542 Å, 60.00 60.00 60.00°
Closest atoms and distances in Å follow each position.
Fractional coordinates of all 3 atoms:
Pr  0.7500  0.7500  0.7500  4 Pb 3.22
Pb  0.0000  0.0000  0.0000  4 Pr 3.22, 4 Er 3.22
Er  0.2500  0.2500  0.2500  4 Pb 3.22

***

[10]
Compound: ErTmPt4Pb2
Source: OQMD via LeMat-Bulk
Functional: GGA-PBE
Structure: optimized geometry

Results
Total energy, Ry per atom: -0.430
Symmetry: P-6m2 (187)

Cell: 4.6355 4.6355 9.0003 Å, 90.00 90.00 120.00°
Closest atoms and distances in Å follow each position.
Fractional coordinates of all 8 atoms:
Pt  0.0000  0.0000  0.3458  1 Pt 2.78, 3 Pb 2.81, 3 Tm 3.01
Er  0.0000  0.0000  0.0000  8 Pt 3.02-3.11
Pb  0.6667  0.3333  0.7496  6 Pt 2.81
Pb  0.6667  0.3333  0.2504  6 Pt 2.81
Pt  0.3333  0.6667  0.8452  1 Pt 2.79, 3 Pb 2.81, 3 Er 3.02, 1 Tm 3.11
Pt  0.0000  0.0000  0.6542  1 Pt 2.78, 3 Pb 2.81, 3 Tm 3.01
Pt  0.3333  0.6667  0.1548  1 Pt 2.79, 3 Pb 2.81, 3 Er 3.02, 1 Tm 3.11
Tm  0.3333  0.6667  0.5000  8 Pt 3.01-3.11

***

[11]
Compound: RbErPb
Source: OQMD via LeMat-Bulk
Functional: GGA-PBE
Structure: optimized geometry

Results
Total energy, Ry per atom: -0.205
Symmetry: F-43m (216)

Cell: 5.4168 5.4168 5.4168 Å, 60.00 60.00 60.00°
Closest atoms and distances in Å follow each position.
Fractional coordinates of all 3 atoms:
Er  0.0000  0.0000  0.0000  4 Pb 3.32, 4 Rb 3.32
Pb  0.2500  0.2500  0.2500  4 Er 3.32
Rb  0.7500  0.7500  0.7500  4 Er 3.32

***

[12]
Compound: RbErPbS3
Source: OQMD via LeMat-Bulk
Functional: GGA-PBE
Structure: optimized geometry

Results
Total energy, Ry per atom: -0.358
Symmetry: Cmcm (63)

Cell: 8.8794 8.8794 11.5173 Å, 90.00 90.00 154.04°
Closest atoms and distances in Å follow each position.
Fractional coordinates of all 12 atoms:
S  0.0037  0.9963  0.2500  2 Pb 2.73, 2 Er 2.88
S  0.3947  0.6053  0.9972  2 Er 2.70, 1 Pb 2.85
Pb  0.3882  0.6117  0.7500  4 S 2.73-2.85
Er  0.0000  0.0000  0.5000  6 S 2.70-2.88
Rb  0.3305  0.6695  0.2500  2 S 3.12
S  0.6053  0.3947  0.0028  2 Er 2.70, 1 Pb 2.85
Pb  0.6117  0.3882  0.2500  4 S 2.73-2.85
S  0.6053  0.3947  0.4972  2 Er 2.70, 1 Pb 2.85
S  0.9963  0.0037  0.7500  2 Pb 2.73, 2 Er 2.88
Rb  0.6695  0.3305  0.7500  2 S 3.12
Er  0.0000  0.0000  0.0000  6 S 2.70-2.88
S  0.3947  0.6053  0.5028  2 Er 2.70, 1 Pb 2.85

***

[13]
Compound: RbErPbSe3
Source: OQMD via LeMat-Bulk
Functional: GGA-PBE
Structure: optimized geometry

Results
Total energy, Ry per atom: -0.328
Symmetry: Cmcm (63)

Cell: 8.9960 8.9960 12.0054 Å, 90.00 90.00 153.35°
Closest atoms and distances in Å follow each position.
Fractional coordinates of all 12 atoms:
Rb  0.6801  0.3199  0.7500  2 Se 3.27
Se  0.9965  0.0035  0.2500  2 Pb 2.84, 2 Er 3.00
Se  0.0035  0.9965  0.7500  2 Pb 2.84, 2 Er 3.00
Se  0.6100  0.3900  0.4979  2 Er 2.83, 1 Pb 2.98
Pb  0.6075  0.3925  0.2500  4 Se 2.84-2.98
Er  0.0000  0.0000  0.5000  6 Se 2.83-3.00
Se  0.3900  0.6100  0.9979  2 Er 2.83, 1 Pb 2.98
Rb  0.3199  0.6801  0.2500  2 Se 3.27
Pb  0.3925  0.6075  0.7500  4 Se 2.84-2.98
Er  0.0000  0.0000  0.0000  6 Se 2.83-3.00
Se  0.6100  0.3900  0.0021  2 Er 2.83, 1 Pb 2.98
Se  0.3900  0.6100  0.5021  2 Er 2.83, 1 Pb 2.98

***

[14]
Compound: RbErTe3Pb
Source: OQMD via LeMat-Bulk
Functional: GGA-PBE
Structure: optimized geometry

Results
Total energy, Ry per atom: -0.294
Symmetry: Cmcm (63)

Cell: 8.8628 8.8628 12.7820 Å, 90.00 90.00 150.83°
Closest atoms and distances in Å follow each position.
Fractional coordinates of all 12 atoms:
Te  0.6233  0.3767  0.0088  2 Er 3.08, 1 Pb 3.15
Rb  0.7147  0.2853  0.7500  4 Te 3.66-3.83, 2 Pb 4.09
Te  0.3767  0.6233  0.5088  2 Er 3.08, 1 Pb 3.15
Er  0.0000  0.0000  0.0000  6 Te 3.08-3.24
Te  0.9671  0.0329  0.2500  2 Pb 3.02, 2 Er 3.24
Pb  0.5857  0.4143  0.2500  4 Te 3.02-3.15
Te  0.0329  0.9671  0.7500  2 Pb 3.02, 2 Er 3.24
Er  0.0000  0.0000  0.5000  6 Te 3.08-3.24
Rb  0.2853  0.7147  0.2500  4 Te 3.66-3.83, 2 Pb 4.09
Pb  0.4143  0.5857  0.7500  4 Te 3.02-3.15
Te  0.6233  0.3767  0.4912  2 Er 3.08, 1 Pb 3.15
Te  0.3767  0.6233  0.9912  2 Er 3.08, 1 Pb 3.15

***

[15]
Compound: ErRePb
Source: OQMD via LeMat-Bulk
Functional: GGA-PBE
Structure: optimized geometry

Results
Total energy, Ry per atom: -0.446
Symmetry: F-43m (216)

Cell: 4.7268 4.7268 4.7268 Å, 60.00 60.00 60.00°
Closest atoms and distances in Å follow each position.
Fractional coordinates of all 3 atoms:
Er  0.2500  0.2500  0.2500  4 Pb 2.89
Pb  0.0000  0.0000  0.0000  4 Re 2.89, 4 Er 2.89
Re  0.7500  0.7500  0.7500  4 Pb 2.89

***

[16]
Compound: Er2PbS3
Source: OQMD via LeMat-Bulk
Functional: GGA-PBE
Structure: optimized geometry

Results
Total energy, Ry per atom: -0.422
Symmetry: P-3m1 (164)

Cell: 3.8294 3.8294 11.5627 Å, 90.00 90.00 120.00°
Closest atoms and distances in Å follow each position.
Fractional coordinates of all 6 atoms:
Pb  0.0000  0.0000  0.0000  6 S 3.45, 6 Pb 3.83
S  0.6667  0.3333  0.7707  3 Er 2.65
S  0.3333  0.6667  0.2293  3 Er 2.65
Er  0.3333  0.6667  0.6443  6 S 2.65-2.77
S  0.0000  0.0000  0.5000  6 Er 2.77
Er  0.6667  0.3333  0.3557  6 S 2.65-2.77

***

[17]
Compound: ErPb2S3
Source: OQMD via LeMat-Bulk
Functional: GGA-PBE
Structure: optimized geometry

Results
Total energy, Ry per atom: -0.376
Symmetry: P-3m1 (164)

Cell: 3.9247 3.9247 11.5428 Å, 90.00 90.00 120.00°
Closest atoms and distances in Å follow each position.
Fractional coordinates of all 6 atoms:
S  0.6667  0.3333  0.3706  3 Er 2.71
S  0.0000  0.0000  0.0000  6 Pb 2.95
Pb  0.3333  0.6667  0.1639  6 S 2.95-3.29
Pb  0.6667  0.3333  0.8361  6 S 2.95-3.29
Er  0.0000  0.0000  0.5000  6 S 2.71
S  0.3333  0.6667  0.6294  3 Er 2.71

***

[18]
Compound: ErSnPbS3
Source: OQMD via LeMat-Bulk
Functional: GGA-PBE
Structure: optimized geometry

Results
Total energy, Ry per atom: -0.375
Symmetry: Cmcm (63)

Cell: 7.6922 7.6922 11.1575 Å, 90.00 90.00 151.11°
Closest atoms and distances in Å follow each position.
Fractional coordinates of all 12 atoms:
Sn  0.6446  0.3554  0.7500  4 S 2.77-2.80
S  0.6260  0.3740  0.9966  2 Er 2.68, 1 Sn 2.77, 1 Pb 2.88
S  0.6260  0.3740  0.5034  2 Er 2.68, 1 Sn 2.77, 1 Pb 2.88
Pb  0.6636  0.3364  0.2500  4 S 2.88-3.19
Pb  0.3364  0.6636  0.7500  4 S 2.88-3.19
S  0.9926  0.0074  0.2500  2 Er 2.79, 2 Sn 2.80
S  0.3740  0.6260  0.4966  2 Er 2.68, 1 Sn 2.77, 1 Pb 2.88
Er  0.0000  0.0000  0.5000  6 S 2.68-2.79
S  0.3740  0.6260  0.0034  2 Er 2.68, 1 Sn 2.77, 1 Pb 2.88
Er  0.0000  0.0000  0.0000  6 S 2.68-2.79
S  0.0074  0.9926  0.7500  2 Er 2.79, 2 Sn 2.80
Sn  0.3554  0.6446  0.2500  4 S 2.77-2.80

***

[19]
Compound: ErZnPbS3
Source: OQMD via LeMat-Bulk
Functional: GGA-PBE
Structure: optimized geometry

Results
Total energy, Ry per atom: -0.342
Symmetry: Cmcm (63)

Cell: 7.3821 7.3821 10.4067 Å, 90.00 90.00 150.04°
Closest atoms and distances in Å follow each position.
Fractional coordinates of all 12 atoms:
Er  0.5000  0.5000  0.5000  6 S 2.70-2.71
Er  0.5000  0.5000  0.0000  6 S 2.70-2.71
Pb  0.2435  0.7565  0.2500  8 S 3.34-3.49, 2 Zn 3.45
S  0.8696  0.1304  0.4523  1 Zn 2.36
Zn  0.0551  0.9449  0.7500  4 S 2.36-2.44
S  0.1304  0.8696  0.5477  1 Zn 2.36
S  0.5515  0.4485  0.2500  2 Zn 2.44, 2 Er 2.70
Zn  0.9449  0.0551  0.2500  4 S 2.36-2.44
S  0.1304  0.8696  0.9523  1 Zn 2.36
S  0.8696  0.1304  0.0477  1 Zn 2.36
S  0.4485  0.5515  0.7500  2 Zn 2.44, 2 Er 2.70
Pb  0.7565  0.2435  0.7500  8 S 3.34-3.49, 2 Zn 3.45

***

[20]
Compound: ErSbPb
Source: OQMD via LeMat-Bulk
Functional: GGA-PBE
Structure: optimized geometry

Results
Total energy, Ry per atom: -0.317
Symmetry: F-43m (216)

Cell: 5.1757 5.1757 5.1757 Å, 60.00 60.00 60.00°
Closest atoms and distances in Å follow each position.
Fractional coordinates of all 3 atoms:
Er  0.2500  0.2500  0.2500  4 Sb 3.17
Sb  0.0000  0.0000  0.0000  4 Pb 3.17, 4 Er 3.17
Pb  0.7500  0.7500  0.7500  4 Sb 3.17